1.
The following is a PBE-GGA calculation of a geometry-optimized NaNiSb2 structure, from Alexandria.

Unit cell a=6.9289 b=6.9289 c=6.9289 alpha=90.00 beta=90.00 gamma=90.00
Space group Fm-3m (No. 225)
Asymmetric unit:
Na: 0.0000 0.0000 0.0000 [4 per cell]
Ni: 0.0000 0.0000 0.5000 [4 per cell]
Sb: 0.2500 0.2500 0.2500 [8 per cell]

Computed properties:
Total DFT energy (no corrections) in eV/atom: -3.755
Total moment in μB/f.u.: 0.0
Calculated volume in Å³/atom: 20.790

2.
The following is a PBE-GGA calculation of a geometry-optimized Pu4GeRu4 structure, from Alexandria.

Unit cell a=7.9995 b=7.9995 c=4.8116 alpha=90.00 beta=90.00 gamma=90.00
Space group I4/m (No. 87)
Asymmetric unit:
Pu: 0.1334 0.8327 0.0000 [8 per cell]
Ge: 0.0000 0.0000 0.5000 [2 per cell]
Ru: 0.0373 0.3372 0.5000 [8 per cell]

Computed properties:
Total moment in μB/f.u.: 3.5
Energy of formation in eV/atom: 0.030
Calculated volume in Å³/atom: 17.106

3.
The following is a PBE-GGA calculation of a geometry-optimized SrMnRh2 structure, from Alexandria.

Unit cell a=4.8354 b=4.8354 c=16.7309 alpha=90.00 beta=90.00 gamma=90.00
Space group I-42d (No. 122)
Asymmetric unit:
Sr: 0.0000 0.0000 0.0000 [4 per cell]
Mn: 0.0000 0.0000 0.5000 [4 per cell]
Rh: 0.0808 0.2500 0.6250 [8 per cell]

Computed properties:
Total moment in μB/f.u.: 4.2
Energy of formation in eV/atom: 0.286
Calculated volume in Å³/atom: 24.449

4.
The following is a PBE-GGA calculation of a geometry-optimized PrErScAg structure, from Alexandria.

Unit cell a=3.5711 b=3.5711 c=8.3899 alpha=90.00 beta=90.00 gamma=90.00
Space group P4mm (No. 99)
Asymmetric unit:
Pr: 0.0000 0.0000 0.0000 [1 per cell]
Er: 0.5000 0.5000 0.6904 [1 per cell]
Sc: 0.5000 0.5000 0.2846 [1 per cell]
Ag: 0.0000 0.0000 0.4711 [1 per cell]

Computed properties:
Total moment in μB/f.u.: 0.0
Energy of formation in eV/atom: -0.107
Calculated volume in Å³/atom: 26.749

Please write out number 4 again, unchanged.
The following is a PBE-GGA calculation of a geometry-optimized PrErScAg structure, from Alexandria.

Unit cell a=3.5711 b=3.5711 c=8.3899 alpha=90.00 beta=90.00 gamma=90.00
Space group P4mm (No. 99)
Asymmetric unit:
Pr: 0.0000 0.0000 0.0000 [1 per cell]
Er: 0.5000 0.5000 0.6904 [1 per cell]
Sc: 0.5000 0.5000 0.2846 [1 per cell]
Ag: 0.0000 0.0000 0.4711 [1 per cell]

Computed properties:
Total moment in μB/f.u.: 0.0
Energy of formation in eV/atom: -0.107
Calculated volume in Å³/atom: 26.749

Question: Which formula does entry 1 have?
Answer: NaNiSb2